Below is Tb4DyY after structural relaxation, with properties calculated at the GGA-PBE level.

a = 3.552 Å, b = 6.169 Å, c = 9.423 Å
α = 77.34°, β = 79.26°, γ = 73.45°
Sites, in units of the cell vectors:
1 Tb 0.167 0.001 0.166
2 Tb 0.167 0.499 0.667
3 Tb 0.833 0.501 0.333
4 Tb 0.833 0.999 0.834
5 Dy 0.500 0.500 0.000
6 Y 0.500 0.000 0.500

Fermi-level density of states ... 8.43 states/eV/f.u.
Energy of formation ... 18 meV/atom
Symmetry ... P-1
Crystal system ... triclinic